# 1
DFT (PBEsol) results for a relaxed structure of TaCuSi3.

## Properties
Formation energy (no corrections), eV per atom: 0.974

a b c (Å): 4.354 4.354 4.354
angles (deg): 90.00 90.00 90.00
Positions (direct):
Ta  0.000  0.000  0.000
Cu  0.500  0.500  0.500
Si  0.000  0.500  0.500
Si  0.500  0.000  0.500
Si  0.500  0.500  0.000

=====

# 2
DFT (PBEsol) results for a relaxed structure of CaNi3P4O14.

## Properties
Formation energy (no corrections), eV per atom: -1.925

a b c (Å): 7.275 7.543 9.333
angles (deg): 90.00 111.96 90.00
Positions (direct):
Ca  0.000  0.000  0.000
Ca  0.000  0.500  0.500
Ni  0.315  0.128  0.476
Ni  0.315  0.372  0.976
Ni  0.500  0.000  0.000
Ni  0.500  0.500  0.500
Ni  0.685  0.628  0.024
Ni  0.685  0.872  0.524
P  0.096  0.066  0.703
P  0.096  0.434  0.203
P  0.383  0.705  0.192
P  0.383  0.795  0.692
P  0.617  0.205  0.308
P  0.617  0.295  0.808
P  0.904  0.566  0.797
P  0.904  0.934  0.297
O  0.112  0.525  0.805
O  0.112  0.975  0.305
O  0.120  0.194  0.585
O  0.120  0.306  0.085
O  0.173  0.625  0.176
O  0.173  0.875  0.676
O  0.227  0.120  0.871
O  0.227  0.380  0.371
O  0.332  0.619  0.605
O  0.332  0.881  0.105
O  0.474  0.574  0.112
O  0.474  0.926  0.612
O  0.494  0.713  0.367
O  0.494  0.787  0.867
O  0.506  0.213  0.133
O  0.506  0.287  0.633
O  0.526  0.074  0.388
O  0.526  0.426  0.888
O  0.668  0.119  0.895
O  0.668  0.381  0.395
O  0.773  0.620  0.629
O  0.773  0.880  0.129
O  0.827  0.125  0.324
O  0.827  0.375  0.824
O  0.880  0.694  0.915
O  0.880  0.806  0.415
O  0.888  0.025  0.695
O  0.888  0.475  0.195

=====

# 3
DFT (PBEsol) results for a relaxed structure of MgAl2Sb.

## Properties
Formation energy (no corrections), eV per atom: 0.094

a b c (Å): 3.748 3.748 5.846
angles (deg): 90.00 90.00 90.00
Positions (direct):
Mg  0.000  0.000  0.000
Al  0.500  0.500  0.249
Al  0.500  0.500  0.751
Sb  0.000  0.000  0.500

=====

# 4
DFT (PBEsol) results for a relaxed structure of Mn3AlI.

## Properties
Formation energy (no corrections), eV per atom: 1.148

a b c (Å): 4.685 4.685 4.685
angles (deg): 90.00 90.00 90.00
Positions (direct):
Mn  0.000  0.000  0.500
Mn  0.000  0.500  0.000
Mn  0.500  0.000  0.000
Al  0.000  0.000  0.000
I  0.500  0.500  0.500